A plane-wave DFT calculation with PBE was carried out for a relaxed Sb2HRu crystal.

Output
- Fermi-level density of states (states/eV/cell) = 2.2
- energy relative to the lowest polymorph listed for this composition (kJ/mol of atoms) = 7.2
- SG = I-42d (122)

abc: 6.316 6.316 5.664
angles: 56.11 56.11 90.00
Positions (direct):
H  0.250  0.750  0.500
Sb  0.375  0.433  0.750
Ru  0.000  0.000  0.000
Ru  0.750  0.250  0.500
H  0.500  0.500  0.000
Sb  0.183  0.625  0.250
Sb  0.875  0.817  0.750
Sb  0.567  0.125  0.250

=====

A plane-wave DFT calculation with PBE was carried out for a relaxed SiPtN2 crystal.

Output
- Fermi-level density of states (states/eV/cell) = 1.5
- ΔE_f (raw) (eV/atom) = 0.5482
- SG = R-3m (166)

abc: 5.906 5.906 5.906
angles: 30.94 30.94 30.94
Positions (direct):
Pt  0.500  0.500  0.500
N  0.106  0.106  0.106
N  0.894  0.894  0.894
Si  0.000  0.000  0.000

=====

A plane-wave DFT calculation with PBE was carried out for a relaxed Sr crystal.

Output
- Fermi-level density of states (states/eV/cell) = 14.0
- formation energy from the elements (eV/atom) = 0.177
- energy relative to the lowest polymorph listed for this composition (kJ/mol of atoms) = 17.1
- SG = P6_3/m (176)

abc: 11.134 11.134 6.864
angles: 90.00 90.00 120.00
Positions (direct):
Sr  0.184  0.243  0.250
Sr  0.942  0.184  0.750
Sr  0.058  0.816  0.250
Sr  0.478  0.097  0.250
Sr  0.243  0.058  0.750
Sr  0.522  0.903  0.750
Sr  0.619  0.522  0.250
Sr  0.381  0.478  0.750
Sr  0.097  0.619  0.750
Sr  0.903  0.381  0.250
Sr  0.816  0.757  0.750
Sr  0.757  0.942  0.250

=====

A plane-wave DFT calculation with PBE was carried out for a relaxed ZrOsI2 crystal.

Output
- Fermi-level density of states (states/eV/cell) = 9.1
- ΔE_f (raw) (eV/atom) = 1.0049
- energy relative to the lowest polymorph listed for this composition (kJ/mol of atoms) = 18.2
- SG = I-42d (122)

abc: 6.388 6.388 7.391
angles: 64.40 64.40 90.00
Positions (direct):
I  0.091  0.625  0.250
Zr  0.500  0.500  0.000
Os  0.000  0.000  0.000
Os  0.750  0.250  0.500
Zr  0.250  0.750  0.500
I  0.659  0.125  0.250
I  0.875  0.909  0.750
I  0.375  0.341  0.750

=====

A plane-wave DFT calculation with PBE was carried out for a relaxed Sc3CdHg6 crystal.

Output
- Fermi-level density of states (states/eV/cell) = 11.9
- formation energy from the elements (eV/atom) = -0.248
- SG = P2_1/m (11)

abc: 4.918 8.675 11.081
angles: 110.11 90.00 90.00
Positions (direct):
Sc  0.750  0.457  0.613
Hg  0.750  0.732  0.509
Sc  0.750  0.222  0.011
Hg  0.750  0.533  0.922
Hg  0.750  0.938  0.134
Cd  0.250  0.956  0.576
Hg  0.250  0.268  0.491
Hg  0.250  0.659  0.691
Hg  0.750  0.162  0.714
Hg  0.750  0.845  0.832
Hg  0.250  0.467  0.078
Hg  0.750  0.341  0.309
Sc  0.250  0.357  0.789
Hg  0.250  0.155  0.168
Hg  0.250  0.062  0.866
Sc  0.250  0.778  0.989
Hg  0.250  0.838  0.286
Sc  0.250  0.543  0.387
Sc  0.750  0.643  0.211
Cd  0.750  0.044  0.424

=====

A plane-wave DFT calculation with PBE was carried out for a relaxed CdPd3Pt4 crystal.

Output
- Fermi-level density of states (states/eV/cell) = 30.8
- formation energy from the elements (eV/atom) = -0.117
- energy relative to the lowest polymorph listed for this composition (kJ/mol of atoms) = 0.0
- SG = P2/c (13)

abc: 4.888 9.738 5.698
angles: 90.00 90.00 70.36
Positions (direct):
Pt  0.436  0.500  0.882
Pt  0.936  0.000  0.118
Cd  0.936  0.000  0.615
Pd  0.933  0.749  0.371
Pt  0.435  0.752  0.122
Pd  0.436  0.000  0.367
Pt  0.935  0.252  0.878
Pt  0.937  0.748  0.878
Pt  0.436  0.000  0.878
Pd  0.439  0.751  0.629
Pt  0.437  0.248  0.122
Pd  0.936  0.500  0.633
Cd  0.436  0.500  0.385
Pd  0.939  0.251  0.371
Pt  0.936  0.500  0.122
Pd  0.433  0.249  0.629

=====

A plane-wave DFT calculation with PBE was carried out for a relaxed Pr4Ge2Pd5 crystal.

Output
- Fermi-level density of states (states/eV/cell) = 5.1
- formation energy from the elements (eV/atom) = -0.803
- SG = P2/m (10)

abc: 4.174 7.074 8.414
angles: 91.55 90.00 90.00
Positions (direct):
Ge  0.000  0.085  0.633
Pd  0.000  0.860  0.866
Pd  0.000  0.558  0.334
Pr  0.500  0.744  0.616
Pd  0.000  0.442  0.666
Pr  0.500  0.256  0.384
Pd  0.000  0.500  0.000
Ge  0.000  0.915  0.367
Pd  0.000  0.140  0.134
Pr  0.500  0.762  0.120
Pr  0.500  0.238  0.880

=====

A plane-wave DFT calculation with PBE was carried out for a relaxed Pm2ThNbN4 crystal.

Output
- Fermi-level density of states (states/eV/cell) = 3.7
- ΔE_f (raw) (eV/atom) = -1.3035
- SG = P2/m (10)

abc: 3.474 6.048 6.053
angles: 108.73 90.00 90.00
Positions (direct):
N  0.000  0.767  0.226
N  0.000  0.233  0.774
Pm  0.000  0.500  0.500
N  0.500  0.222  0.217
Th  0.500  0.500  0.000
Nb  0.000  0.000  0.000
Pm  0.500  0.000  0.500
N  0.500  0.778  0.783

=====

A plane-wave DFT calculation with PBE was carried out for a relaxed Ac3Mg5Cd6 crystal.

Output
- Fermi-level density of states (states/eV/cell) = 22.7
- formation energy from the elements (eV/atom) = -0.228
- SG = Pmmn (59)

abc: 5.082 10.106 14.853
angles: 90.00 90.00 90.00
Positions (direct):
Mg  0.500  0.246  0.500
Mg  0.000  0.895  0.660
Ac  0.500  0.766  0.500
Cd  0.500  0.931  0.000
Ac  0.500  0.748  0.796
Mg  0.000  0.527  0.860
Cd  0.000  0.069  0.500
Ac  0.000  0.234  0.000
Cd  0.500  0.387  0.844
Cd  0.500  0.039  0.358
Ac  0.000  0.252  0.704
Mg  0.000  0.754  0.000
Mg  0.500  0.105  0.840
Cd  0.000  0.613  0.344
Cd  0.000  0.427  0.500
Cd  0.000  0.613  0.656
Mg  0.500  0.473  0.360
Cd  0.500  0.387  0.156
Mg  0.500  0.473  0.640
Ac  0.500  0.748  0.204
Cd  0.000  0.961  0.142
Mg  0.500  0.105  0.160
Cd  0.000  0.961  0.858
Cd  0.500  0.039  0.642
Cd  0.500  0.573  0.000
Mg  0.000  0.527  0.140
Mg  0.000  0.895  0.340
Ac  0.000  0.252  0.296

=====

A plane-wave DFT calculation with PBE was carried out for a relaxed UAg3Cl9 crystal.

Output
- Fermi-level density of states (states/eV/cell) = 14.3
- ΔE_f (raw) (eV/atom) = -0.9721
- SG = Cc (9)

abc: 10.137 10.849 10.921
angles: 69.59 62.35 62.15
Each line ends with the local moment (μB).
Positions (direct):
Cl  0.189  0.089  0.736  0.01
Ag  0.837  0.234  0.572  0.00
Cl  0.842  0.334  0.273  0.01
Cl  0.397  0.178  0.372  0.01
Cl  0.428  0.829  0.522  0.01
Ag  0.313  0.490  0.296  0.00
Cl  0.905  0.423  0.915  0.01
Ag  0.357  0.734  0.072  0.00
Cl  0.220  0.329  0.022  0.01
Cl  0.758  0.923  0.415  0.01
Ag  0.901  0.990  0.796  0.00
Ag  0.928  0.496  0.579  0.00
Cl  0.689  0.464  0.634  0.00
Cl  0.672  0.689  0.123  0.01
Cl  0.516  0.189  0.623  0.01
Cl  0.466  0.491  0.051  0.00
Cl  0.550  0.834  0.773  0.01
Ag  0.997  0.996  0.079  0.00
U  0.947  0.507  0.073  -0.19
Cl  0.162  0.534  0.531  0.00
Cl  0.993  0.991  0.551  0.00
Cl  0.213  0.964  0.134  0.00
U  0.474  0.007  0.573  -0.19
Cl  0.773  0.034  0.031  0.00
Cl  0.986  0.589  0.236  0.01
Cl  0.052  0.678  0.872  0.01

=====

A plane-wave DFT calculation with PBE was carried out for a relaxed Cd4InSi crystal.

Output
- Fermi-level density of states (states/eV/cell) = 2.6
- ΔE_f (raw) (eV/atom) = 0.3180
- SG = F-43m (216)

abc: 5.855 5.855 5.855
angles: 60.00 60.00 60.00
Positions (direct):
In  0.750  0.750  0.750
Cd  0.876  0.375  0.375
Cd  0.375  0.375  0.876
Si  0.000  0.000  0.000
Cd  0.375  0.375  0.375
Cd  0.375  0.876  0.375

=====

A plane-wave DFT calculation with PBE was carried out for a relaxed YCd3F crystal.

Output
- Fermi-level density of states (states/eV/cell) = 2.8
- ΔE_f (raw) (eV/atom) = -0.5173
- energy relative to the lowest polymorph listed for this composition (kJ/mol of atoms) = 0.0
- SG = Pm-3m (221)

abc: 4.902 4.902 4.902
angles: 90.00 90.00 90.00
Positions (direct):
Cd  0.500  0.000  0.000
Cd  0.000  0.500  0.000
F  0.000  0.000  0.000
Y  0.500  0.500  0.500
Cd  0.000  0.000  0.500

=====

A plane-wave DFT calculation with PBE was carried out for a relaxed Tb3Dy4Sc3 crystal.

Output
- Fermi-level density of states (states/eV/cell) = 8.3
- formation energy from the elements (eV/atom) = 0.090
- SG = Amm2 (38)

abc: 3.627 9.059 9.059
angles: 90.48 90.00 90.00
Positions (direct):
Sc  0.500  0.333  0.330
Dy  0.000  0.125  0.137
Dy  0.000  0.377  0.623
Tb  0.500  0.170  0.830
Tb  0.000  0.503  0.002
Sc  0.500  0.830  0.170
Dy  0.000  0.863  0.875
Tb  0.000  0.998  0.497
Dy  0.000  0.631  0.369
Sc  0.500  0.670  0.667

=====

A plane-wave DFT calculation with PBE was carried out for a relaxed ReTe2Se crystal.

Output
- Fermi-level density of states (states/eV/cell) = 3.4
- ΔE_f (raw) (eV/atom) = 0.6610
- SG = Cmmm (65)

abc: 3.070 3.070 10.736
angles: 90.00 90.00 115.09
Positions (direct):
Se  0.500  0.500  0.750
Te  0.000  0.000  0.044
Te  0.000  0.000  0.456
Re  0.500  0.500  0.250

=====

A plane-wave DFT calculation with PBE was carried out for a relaxed NdNi2C2 crystal.

Output
- Fermi-level density of states (states/eV/cell) = 3.9
- formation energy from the elements (eV/atom) = -0.076
- energy relative to the lowest polymorph listed for this composition (kJ/mol of atoms) = 0.0
- SG = Cmcm (63)

abc: 3.742 5.083 7.040
angles: 90.00 90.00 111.59
Positions (direct):
Ni  0.338  0.675  0.943
Nd  0.070  0.139  0.750
Ni  0.338  0.675  0.557
C  0.804  0.609  0.849
C  0.804  0.609  0.651
C  0.196  0.391  0.349
Ni  0.662  0.325  0.057
Ni  0.662  0.325  0.443
C  0.196  0.391  0.151
Nd  0.930  0.861  0.250

=====

A plane-wave DFT calculation with PBE was carried out for a relaxed CsSr3Cl crystal.

Output
- Fermi-level density of states (states/eV/cell) = 4.7
- ΔE_f (raw) (eV/atom) = -0.4462
- energy relative to the lowest polymorph listed for this composition (kJ/mol of atoms) = 0.0
- SG = Pm-3m (221)

abc: 6.525 6.525 6.525
angles: 90.00 90.00 90.00
Positions (direct):
Sr  0.000  0.000  0.500
Sr  0.500  0.000  0.000
Sr  0.000  0.500  0.000
Cl  0.000  0.000  0.000
Cs  0.500  0.500  0.500

=====

A plane-wave DFT calculation with PBE was carried out for a relaxed Li4In5Au crystal.

Output
- Fermi-level density of states (states/eV/cell) = 3.7
- formation energy from the elements (eV/atom) = -0.257
- energy relative to the lowest polymorph listed for this composition (kJ/mol of atoms) = 1.6
- SG = P4/mmm (123)

abc: 3.523 3.523 16.147
angles: 90.00 90.00 90.00
Positions (direct):
In  0.500  0.500  0.298
Li  0.000  0.000  0.601
Li  0.000  0.000  0.399
Li  0.000  0.000  0.801
In  0.500  0.500  0.702
In  0.500  0.500  0.101
In  0.500  0.500  0.899
In  0.500  0.500  0.500
Au  0.000  0.000  0.000
Li  0.000  0.000  0.199

=====

A plane-wave DFT calculation with PBE was carried out for a relaxed AcSm2Er crystal.

Output
- Fermi-level density of states (states/eV/cell) = 6.6
- formation energy from the elements (eV/atom) = 0.050
- energy relative to the lowest polymorph listed for this composition (kJ/mol of atoms) = 0.6
- SG = P4/mmm (123)

abc: 3.711 3.711 10.333
angles: 90.00 90.00 90.00
Positions (direct):
Sm  0.000  0.000  0.765
Er  0.500  0.500  0.000
Sm  0.000  0.000  0.235
Ac  0.500  0.500  0.500

=====

A plane-wave DFT calculation with PBE was carried out for a relaxed AgBiIN2 crystal.

Output
- Fermi-level density of states (states/eV/cell) = 3.0
- ΔE_f (raw) (eV/atom) = 1.4017
- energy relative to the lowest polymorph listed for this composition (kJ/mol of atoms) = 0.0
- SG = P4/mmm (123)

abc: 4.362 4.362 7.304
angles: 90.00 90.00 90.00
Each line ends with the local moment (μB).
Positions (direct):
Ag  0.500  0.500  0.500  0.00
N  0.500  0.000  0.000  0.68
N  0.000  0.500  0.000  0.68
Bi  0.000  0.000  0.000  -0.09
I  0.000  0.000  0.500  -0.01

=====

A plane-wave DFT calculation with PBE was carried out for a relaxed Cd3NiI crystal.

Output
- Fermi-level density of states (states/eV/cell) = 2.1
- ΔE_f (raw) (eV/atom) = 0.1133
- energy relative to the lowest polymorph listed for this composition (kJ/mol of atoms) = 0.0
- SG = Pm-3m (221)

abc: 5.145 5.145 5.145
angles: 90.00 90.00 90.00
Positions (direct):
Cd  0.000  0.500  0.000
Ni  0.000  0.000  0.000
Cd  0.500  0.000  0.000
I  0.500  0.500  0.500
Cd  0.000  0.000  0.500